Below is BaZrTc3 after structural relaxation, with properties calculated at the PBE-GGA level.

## Properties
- Theoretical density: 6.76 g cm⁻³
- Energy of formation from the pure elements: 690 kJ/mol of formula units
- DOS(E_F): 5.54 states/eV/cell
- Relative energy among the computed polymorphs: 0 meV/atom
- M_tot: 5.50 μB/cell
- Electronic total energy: -34.41 eV for the cell shown

a b c (Å): 5.0442 5.0442 5.0442
angles (deg): 90.00 90.00 90.00
Element x y z (fractional)
Ba  0.0000  0.0000  0.0000
Zr  0.5000  0.5000  0.5000
Tc  0.0000  0.5000  0.5000
Tc  0.5000  0.0000  0.5000
Tc  0.5000  0.5000  0.0000